A relaxed La2Ho3Te8 crystal. Source: the Alexandria database, functional GGA-PBE.

Lattice parameters (Å, degrees): 7.587 8.814 9.004 119.30 106.10 90.00
Element x y z (fractional)
La  0.332  0.253  0.506
La  0.668  0.747  0.494
Te  0.089  0.884  0.769
Te  0.920  0.618  0.237
Te  0.591  0.130  0.768
Te  0.591  0.639  0.768
Te  0.409  0.361  0.232
Te  0.080  0.382  0.763
Te  0.911  0.116  0.231
Te  0.409  0.870  0.232
Ho  0.000  0.743  0.000
Ho  0.000  0.257  0.000
Ho  0.500  0.000  0.000

## Properties
The value obtained for the theoretical density is 5.98 g cm⁻³. The total energy is -66.1 eV/f.u.

---

A relaxed LaHoTe2 crystal. Source: the Alexandria database, functional GGA-PBE.

Lattice parameters (Å, degrees): 4.334 4.334 8.146 74.57 74.57 60.00
Element x y z (fractional)
Ho  0.671  0.671  0.988
Te  0.077  0.077  0.769
Te  0.256  0.256  0.231
La  0.496  0.496  0.511

## Properties
The value obtained for the theoretical density is 7.36 g cm⁻³. The total energy is -21.5 eV/f.u. For the polymorph energy (0 for the lowest one), the calculation gives 1 meV per atom.

---

A relaxed La2HoTe3 crystal. Source: the Alexandria database, functional GGA-PBE.

Lattice parameters (Å, degrees): 7.820 7.820 14.107 100.81 100.81 108.85
Element x y z (fractional)
La  0.748  0.748  0.496
La  0.998  0.498  0.996
La  0.420  0.420  0.839
La  0.252  0.252  0.504
La  0.830  0.330  0.661
La  0.580  0.580  0.161
La  0.670  0.170  0.339
La  0.502  0.002  0.004
Ho  0.083  0.083  0.166
Ho  0.333  0.833  0.666
Ho  0.917  0.917  0.834
Ho  0.167  0.667  0.334
Te  0.850  0.337  0.172
Te  0.016  0.516  0.500
Te  0.400  0.413  0.328
Te  0.587  0.600  0.672
Te  0.484  0.984  0.500
Te  0.663  0.150  0.828
Te  0.085  0.072  0.672
Te  0.928  0.915  0.328
Te  0.165  0.678  0.828
Te  0.322  0.835  0.172
Te  0.766  0.766  0.000
Te  0.234  0.234  0.000

## Properties
The value obtained for the theoretical density is 7.10 g cm⁻³. The total energy is -32.7 eV/f.u. For the polymorph energy (0 for the lowest one), the calculation gives 0 meV per atom.

---

A relaxed LaHo5Te6 crystal. Source: the Alexandria database, functional GGA-PBE.

Lattice parameters (Å, degrees): 7.572 7.585 7.586 60.00 80.41 70.53
Element x y z (fractional)
Te  0.740  0.086  0.347
Te  0.260  0.567  0.347
Te  0.260  0.914  0.653
Te  0.740  0.433  0.653
Te  0.752  0.736  0.000
Te  0.248  0.264  0.000
Ho  0.500  0.500  0.000
Ho  0.500  0.845  0.310
Ho  0.000  0.332  0.335
Ho  0.000  0.668  0.665
Ho  0.500  0.155  0.690
La  0.000  0.000  0.000

## Properties
The value obtained for the theoretical density is 8.07 g cm⁻³. The total energy is -62.3 eV/f.u.

---

A relaxed La2HoTe crystal. Source: the Alexandria database, functional GGA-PBE.

Lattice parameters (Å, degrees): 4.047 4.047 10.337 78.71 78.71 60.00
Element x y z (fractional)
Ho  0.500  0.500  0.501
La  0.074  0.074  0.779
La  0.260  0.260  0.221
Te  0.667  0.667  0.999

## Properties
The value obtained for the theoretical density is 6.63 g cm⁻³. The total energy is -19.9 eV/f.u. For the polymorph energy (0 for the lowest one), the calculation gives 26 meV per atom.

---

A relaxed LaHo4Te6 crystal. Source: the Alexandria database, functional GGA-PBE.

Lattice parameters (Å, degrees): 4.329 7.441 22.209 90.00 90.00 106.91
Element x y z (fractional)
Te  0.678  0.356  0.750
Te  0.951  0.902  0.662
Te  0.500  0.000  0.500
Te  0.235  0.471  0.593
Te  0.765  0.529  0.093
Te  0.049  0.098  0.162
Te  0.951  0.902  0.838
Te  0.765  0.529  0.407
Te  0.235  0.471  0.907
Te  0.322  0.644  0.250
Te  0.500  0.000  0.000
Te  0.049  0.098  0.338
Ho  0.856  0.711  0.965
Ho  0.144  0.289  0.465
Ho  0.144  0.289  0.035
Ho  0.409  0.817  0.124
Ho  0.409  0.817  0.376
Ho  0.856  0.711  0.535
Ho  0.591  0.183  0.624
Ho  0.591  0.183  0.876
La  0.346  0.691  0.750
La  0.654  0.309  0.250

## Properties
The value obtained for the theoretical density is 7.59 g cm⁻³. The total energy is -57.4 eV/f.u.

---

A relaxed La2HoTe4 crystal. Source: the Alexandria database, functional GGA-PBE.

Lattice parameters (Å, degrees): 4.314 7.860 15.359 90.00 90.00 105.93
Element x y z (fractional)
Te  0.500  0.000  0.000
Te  0.500  0.000  0.500
Te  0.783  0.566  0.373
Te  0.217  0.434  0.627
Te  0.982  0.964  0.750
Te  0.783  0.566  0.127
Te  0.018  0.036  0.250
Te  0.217  0.434  0.873
Ho  0.630  0.259  0.750
Ho  0.370  0.741  0.250
La  0.132  0.263  0.427
La  0.868  0.737  0.573
La  0.868  0.737  0.927
La  0.132  0.263  0.073

## Properties
The value obtained for the theoretical density is 6.32 g cm⁻³. The total energy is -37.1 eV/f.u. For the polymorph energy (0 for the lowest one), the calculation gives 63 meV per atom.

---

A relaxed LaHoTe2 crystal. Source: the Alexandria database, functional GGA-PBE.

Lattice parameters (Å, degrees): 4.426 4.426 7.823 89.89 106.49 120.10
Element x y z (fractional)
Te  0.513  0.256  0.769
Te  0.488  0.744  0.231
La  0.000  0.500  0.500
Ho  0.000  0.000  0.000

## Properties
The value obtained for the theoretical density is 7.41 g cm⁻³. The total energy is -21.5 eV/f.u. For the polymorph energy (0 for the lowest one), the calculation gives 0 meV per atom.

---

Number 1: formation energy without anion corrections -1.3350 eV per atom, total moment 0.000 μB/atom. Number 2: formation energy without anion corrections -1.4280 eV per atom, total moment 0.000 μB/atom. Number 3: formation energy without anion corrections -1.4805 eV per atom, total moment 0.000 μB/atom. Number 4: formation energy without anion corrections -1.3033 eV per atom, total moment 0.000 μB/atom. Number 5: formation energy without anion corrections -0.5782 eV per atom, total moment 0.176 μB/atom. Number 6: formation energy without anion corrections -1.3930 eV per atom, total moment 0.000 μB/atom. Number 7: formation energy without anion corrections -1.4388 eV per atom, total moment 0.000 μB/atom. Number 8: formation energy without anion corrections -1.4289 eV per atom, total moment 0.000 μB/atom.